Here is a relaxed CaOsI2N crystal from the Alexandria database. Energies are from PBE-GGA.

Cell: 5.685 5.685 3.793 Å, 90.00 90.00 90.00°
Sites, in units of the cell vectors:
Ca (0.000, 0.000, 0.000)
Os (0.500, 0.500, 0.500)
I (0.000, 0.500, 0.500)
I (0.500, 0.000, 0.500)
N (0.500, 0.500, 0.000)

The space group is No. 123. For the density of states at the Fermi level, the calculation gives 3.1 states/eV/f.u. The energy above the most stable polymorph in this dataset is 0.0000 eV/atom. The raw formation energy comes out at -0.0881 eV/atom.

=====

Here is a relaxed GeTe4Ir crystal from the Alexandria database. Energies are from PBE-GGA.

Cell: 7.684 7.684 7.684 Å, 106.72 106.72 115.13°
Sites, in units of the cell vectors:
Ge (0.000, 0.000, 0.000)
Ge (0.750, 0.250, 0.500)
Te (0.205, 0.508, 0.697)
Te (0.258, 0.061, 0.803)
Te (0.258, 0.455, 0.197)
Te (0.301, 0.991, 0.310)
Te (0.681, 0.991, 0.690)
Te (0.741, 0.551, 0.810)
Te (0.741, 0.931, 0.190)
Te (0.811, 0.508, 0.303)
Ir (0.255, 0.755, 0.500)
Ir (0.505, 0.505, 0.000)

The space group is No. 109. For the density of states at the Fermi level, the calculation gives 5.7 states/eV/f.u. The energy above the most stable polymorph in this dataset is 0.2699 eV/atom. The raw formation energy comes out at 0.1039 eV/atom.

=====

Here is a relaxed CdAgHAu2 crystal from the Alexandria database. Energies are from PBE-GGA.

Cell: 4.106 4.106 4.659 Å, 90.00 90.00 90.00°
Sites, in units of the cell vectors:
Cd (0.000, 0.000, 0.000)
Ag (0.500, 0.500, 0.000)
H (0.000, 0.000, 0.500)
Au (0.000, 0.500, 0.500)
Au (0.500, 0.000, 0.500)

The space group is No. 123. For the density of states at the Fermi level, the calculation gives 0.8 states/eV/f.u. The energy above the most stable polymorph in this dataset is 0.0217 eV/atom.